(1)
Zr2SbPb | PBE-GGA | relaxed

Lattice parameters (Å, degrees): 5.7848 5.7848 5.2539 99.21 99.21 33.32
Fractional coordinates of all 4 atoms:
Zr1 0.0000 0.0000 0.0000
Zr2 0.2262 0.2262 0.5996
Sb1 0.4946 0.4946 0.5040
Pb1 0.7413 0.7413 0.1041

Calculated values
SG: No. 8
ΔE_f (raw) in eV per atom: -0.2861

(2)
Y2RhBr | PBE-GGA | relaxed

Lattice parameters (Å, degrees): 3.4213 3.4213 8.2069 90.00 90.00 90.17
Fractional coordinates of all 4 atoms:
Y1 0.0000 0.0000 0.2064
Y2 0.0000 0.0000 0.7936
Rh1 0.5000 0.5000 0.0000
Br1 0.5000 0.5000 0.5000

Calculated values
SG: No. 65
ΔE_f (raw) in eV per atom: -0.8858

(3)
AlBAs3 | PBE-GGA | relaxed

Lattice parameters (Å, degrees): 4.8285 4.8285 4.8285 90.00 90.00 90.00
Fractional coordinates of all 5 atoms:
Al1 0.0000 0.0000 0.0000
B1 0.5000 0.5000 0.5000
As1 0.0000 0.0000 0.5000
As2 0.0000 0.5000 0.0000
As3 0.5000 0.0000 0.0000

Calculated values
SG: No. 221
Calculated formation energy in eV per atom: 1.379

(4)
Th2CoAg | PBE-GGA | relaxed

Lattice parameters (Å, degrees): 7.8061 7.8061 7.8061 29.75 29.75 29.75
Fractional coordinates of all 4 atoms:
Th1 0.0000 0.0000 0.0000
Th2 0.2011 0.2011 0.2011
Co1 0.6007 0.6007 0.6007
Ag1 0.7677 0.7677 0.7677

Calculated values
SG: No. 160
Calculated formation energy in eV per atom: -0.156

(5)
Mg2TiTl | PBE-GGA | relaxed

Lattice parameters (Å, degrees): 4.2903 4.2903 4.4184 90.00 90.00 90.00
Fractional coordinates of all 4 atoms:
Mg1 0.0000 0.5000 0.0000
Mg2 0.5000 0.0000 0.0000
Ti1 0.0000 0.0000 0.5000
Tl1 0.5000 0.5000 0.5000

Calculated values
SG: No. 123
Calculated formation energy in eV per atom: 0.025

(6)
Tb2Ho5Er12 | PBE-GGA | relaxed

Lattice parameters (Å, degrees): 6.0771 9.2878 10.5239 101.02 95.59 90.09
Fractional coordinates of all 19 atoms:
Tb1 0.0791 0.3157 0.4736
Tb2 0.9209 0.6843 0.5264
Ho1 0.2370 0.9474 0.4209
Ho2 0.3419 0.3683 0.0524
Ho3 0.5000 0.0000 0.0000
Ho4 0.6581 0.6317 0.9476
Ho5 0.7630 0.0526 0.5791
Er1 0.0262 0.1051 0.1573
Er2 0.1317 0.5262 0.7900
Er3 0.1841 0.7368 0.1049
Er4 0.2896 0.1579 0.7374
Er5 0.3948 0.5790 0.3680
Er6 0.4473 0.7898 0.6846
Er7 0.5527 0.2102 0.3154
Er8 0.6052 0.4210 0.6320
Er9 0.7104 0.8421 0.2626
Er10 0.8159 0.2632 0.8951
Er11 0.8683 0.4738 0.2100
Er12 0.9738 0.8949 0.8427

Calculated values
SG: No. 2
Calculated formation energy in eV per atom: 0.022

Number 1: energy above the most stable polymorph in this dataset 0.23 eV/f.u.. Number 2: energy above the most stable polymorph in this dataset 0.71 eV/f.u.. Number 3: energy above the most stable polymorph in this dataset 3.23 eV/f.u.. Number 4: energy above the most stable polymorph in this dataset 0.04 eV/f.u.. Number 5: energy above the most stable polymorph in this dataset 0.00 eV/f.u.. Number 6: energy above the most stable polymorph in this dataset 0.00 eV/f.u..